Here is an optimized crystal structure of CoRhC3 from Alexandria via LeMat-Bulk. Energies are from PBE.

Lattice parameters (Å, degrees): 3.692 3.692 3.692 90.00 90.00 90.00
Fractional positions:
Co 0.000 0.000 0.000
C 0.000 0.500 0.000
C 0.000 0.000 0.500
C 0.500 0.000 0.000
Rh 0.500 0.500 0.500

* E_tot: -6.381 eV per atom
* crystal system: cubic
* excess energy over the best structure of this formula in the dataset: 0.0 meV/atom
* total magnetic moment: 0.000 μB/cell
* calculated formation energy: 2.04 eV/atom
* ρ: 6.5 Mg/m³